First-principles (PBE-GGA) data for a relaxed structure of PrSc3Sn3, as listed in Alexandria.

Cell and atoms, written as POSCAR:
```
PrSc3Sn3
1.0
8.899 0.000 0.000
-4.450 7.707 0.000
0.000 0.000 5.165
Pr Sc Sn
2 6 6
Cartesian
0.000 5.138 1.291
4.450 2.569 3.874
-0.947 1.765 1.291
-2.447 7.645 1.291
1.055 1.703 3.874
3.395 6.004 1.291
6.897 0.062 3.874
5.397 5.942 3.874
-1.299 3.354 3.874
-0.895 7.155 3.874
2.255 2.802 1.291
2.194 4.905 3.874
5.345 0.552 1.291
5.749 4.353 1.291
```

**Energy**: -5.646 eV/atom
**N(E_F)**: 6.62 states/eV/f.u.
**Energy of formation from the pure elements**: -3.74 eV/f.u.